Compound: CrMoRh2
Source: Alexandria via LeMat-Bulk
Functional: GGA-PBEsol
Structure: optimized geometry

Unit cell a=3.756 b=3.756 c=4.618 alpha=113.99 beta=113.99 gamma=90.00
Atoms (fractional coordinates):
Cr 0.000 0.000 0.000
Mo 0.500 0.500 0.000
Rh 0.750 0.250 0.500
Rh 0.250 0.750 0.500

ρ   11.03 g/cm3
Energy of formation from the pure elements   -0.115 eV per atom
Uncorrected energy   -9.69 eV/atom